Entry 1:
Material: PrNdCd
Method: DFT, GGA-PBE
State: optimized geometry

The space group is I4mm (No. 107) and the conventional cell measures 3.784, 3.784 and 13.185 Å, with angles of 90.00, 90.00 and 90.00 degrees. The distinct sites, in fractional coordinates, are Pr at (0.000, 0.000, 0.000), Nd at (0.000, 0.000, 0.308) and Cd at (0.000, 0.000, 0.656).

Its magnetization is 0.04 μB/f.u. Its formation enthalpy at 0 K is -200.3 meV per atom.

Entry 2:
Material: Cu2TcMo
Method: DFT, GGA-PBE
State: optimized geometry

The space group is P4/mmm (No. 123) and the conventional cell measures 3.624, 3.624 and 4.151 Å, with angles of 90.00, 90.00 and 90.00 degrees. The distinct sites, in fractional coordinates, are Cu at (0.000, 0.500, 0.000), Tc at (0.000, 0.000, 0.500) and Mo at (0.500, 0.500, 0.500).

Its magnetization is 0.00 μB/f.u. Its formation enthalpy at 0 K is 187.3 meV per atom.

Copy entry 1 word for word.
Material: PrNdCd
Method: DFT, GGA-PBE
State: optimized geometry

The space group is I4mm (No. 107) and the conventional cell measures 3.784, 3.784 and 13.185 Å, with angles of 90.00, 90.00 and 90.00 degrees. The distinct sites, in fractional coordinates, are Pr at (0.000, 0.000, 0.000), Nd at (0.000, 0.000, 0.308) and Cd at (0.000, 0.000, 0.656).

Its magnetization is 0.04 μB/f.u. Its formation enthalpy at 0 K is -200.3 meV per atom.

What is the formation enthalpy at 0 K in the second record?
187.3 meV per atom

Which value of formation enthalpy at 0 K does entry 1 give?
-200.3 meV per atom